An optimized crystal structure of Ge3OsI. Source: Alexandria, functional GGA-PBE.

For the offset from the most stable computed form, the calculation gives 0 meV per atom. The value obtained for the uncorrected formation energy is 147.2 meV per atom.

Lattice parameters (Å, degrees): 4.8680 4.8680 4.8680 90.00 90.00 90.00
Last column: nearest neighbours and their distance in Å.
Atoms (fractional coordinates):
Ge 0.0000 0.0000 0.5000  2 Os 2.43
Ge 0.0000 0.5000 0.0000  2 Os 2.43
Ge 0.5000 0.0000 0.0000  2 Os 2.43
Os 0.0000 0.0000 0.0000  6 Ge 2.43
I 0.5000 0.5000 0.5000  12 Ge 3.44